Entry from Alexandria via LeMat-Bulk: a geometry-optimized Li2CdMoF6 structure (GGA+U).

a b c (Å): 5.5622 5.4534 6.1682
angles (deg): 63.48 57.57 61.65
Site moments in Bohr magnetons follow the coordinates.
Atoms (fractional coordinates):
Li 0.5229 0.5382 0.3560  0.00
Li 0.0134 0.0841 0.8574  0.00
Cd 0.3080 0.3060 0.1617  0.01
Mo 0.7616 0.8132 0.6084  3.57
F 0.7532 0.3332 0.0864  0.02
F 0.1947 0.8943 0.3518  0.01
F 0.8317 0.6032 0.3429  0.01
F 0.3309 0.7272 0.8477  0.01
F 0.6835 0.0597 0.8468  0.01
F 0.2615 0.3024 0.5560  0.03

Values from the calculation:
**E**: -4.698 eV per atom
**Symmetry**: P1 (1)